Entry 1:
A plane-wave DFT calculation with meta-GGA SCAN was carried out for NaSb2Rh2 at its PBEsol-relaxed geometry.

abc: 4.1576 4.1576 6.8440
angles: 107.68 107.68 90.00
Last column: nearest neighbours and their distance in Å.
Fractional positions:
1 Sb 0.3726 0.3726 0.7453  4 Rh 2.57
2 Sb 0.6274 0.6274 0.2547  4 Rh 2.57
3 Rh 0.2500 0.7500 0.5000  4 Sb 2.57
4 Rh 0.7500 0.2500 0.5000  4 Sb 2.57
5 Na 0.0000 0.0000 0.0000  8 Sb 3.33, 8 Rh 3.72

* density of states at the Fermi level: 0.333 states/eV/atom
* symmetry: I4/mmm (139)
* formation energy without anion corrections: -2.5 eV/f.u.
* final energy: -148.8 eV for the cell shown


Entry 2:
A plane-wave DFT calculation with meta-GGA SCAN was carried out for BeCu2Au at its PBEsol-relaxed geometry.

abc: 3.7226 3.7226 4.3751
angles: 115.18 115.18 90.00
Last column: nearest neighbours and their distance in Å.
Fractional positions:
1 Be 0.2500 0.7500 0.5000  8 Cu 2.55-2.63, 4 Au 2.55
2 Au 0.5000 0.5000 0.0000  4 Be 2.55, 8 Cu 2.55-2.63
3 Cu 0.0000 0.0000 0.0000  4 Be 2.55, 4 Cu 2.55, 4 Au 2.63
4 Cu 0.7500 0.2500 0.5000  4 Cu 2.55, 4 Au 2.55, 4 Be 2.63

* density of states at the Fermi level: 0.321 states/eV/atom
* symmetry: I-4m2 (119)
* final energy: -104.4 eV for the cell shown
* energy of formation from the pure elements: -12 kJ per mole of atoms


Entry 3:
A plane-wave DFT calculation with meta-GGA SCAN was carried out for Ca2OsBr at its PBEsol-relaxed geometry.

abc: 3.3487 3.3682 7.8092
angles: 90.00 90.02 90.00
Last column: nearest neighbours and their distance in Å.
Fractional positions:
1 Ca 0.9997 0.0000 0.7779  4 Os 2.94, 4 Br 3.22
2 Ca 0.0003 0.0000 0.2221  4 Os 2.94, 4 Br 3.22
3 Os 0.5000 0.5000 0.0000  8 Ca 2.94
4 Br 0.5000 0.5000 0.5000  8 Ca 3.22, 4 Br 3.35-3.37

* density of states at the Fermi level: 0.792 states/eV/atom
* energy above the most stable polymorph in this dataset: 0.0000 eV/atom
* symmetry: Pmmm (47)
* formation energy without anion corrections: -1.8 eV/f.u.
* final energy: -112.5 eV for the cell shown


Entry 4:
A plane-wave DFT calculation with meta-GGA SCAN was carried out for TaRh5 at its PBEsol-relaxed geometry.

abc: 4.3420 4.7294 4.7294
angles: 120.00 90.00 90.00
Last column: nearest neighbours and their distance in Å.
Fractional positions:
1 Rh 0.0000 0.3432 0.3432  10 Rh 2.67-2.81, 2 Ta 2.71
2 Rh 0.0000 0.6568 0.0000  10 Rh 2.67-2.81, 2 Ta 2.71
3 Rh 0.0000 0.0000 0.6568  10 Rh 2.67-2.81, 2 Ta 2.71
4 Rh 0.5000 0.3333 0.6667  9 Rh 2.67-2.73, 3 Ta 2.73
5 Rh 0.5000 0.6667 0.3333  9 Rh 2.67-2.73, 3 Ta 2.73
6 Ta 0.5000 0.0000 0.0000  12 Rh 2.71-2.73

* density of states at the Fermi level: 1.232 states/eV/atom
* symmetry: P-62m (189)
* final energy: -237.7 eV for the cell shown
* energy of formation from the pure elements: -37 kJ per mole of atoms


Entry 5:
A plane-wave DFT calculation with meta-GGA SCAN was carried out for CrMoIO2 at its PBEsol-relaxed geometry.

abc: 3.8547 3.8547 5.8233
angles: 90.00 90.00 90.00
Last column: nearest neighbours and their distance in Å.
Fractional positions:
1 I 0.0000 0.0000 0.5000  4 Cr 2.73, 2 Mo 2.91
2 Cr 0.5000 0.5000 0.5000  4 I 2.73
3 Mo 0.0000 0.0000 0.0000  4 O 1.93
4 O 0.0000 0.5000 0.0000  2 Mo 1.93
5 O 0.5000 0.0000 0.0000  2 Mo 1.93

* density of states at the Fermi level: 0.347 states/eV/atom
* energy above the most stable polymorph in this dataset: 0.0000 eV/atom
* symmetry: P4/mmm (123)
* formation energy without anion corrections: -4.0 eV/f.u.
* final energy: -106.4 eV for the cell shown


Entry 6:
A plane-wave DFT calculation with meta-GGA SCAN was carried out for Ru5Pt3 at its PBEsol-relaxed geometry.

abc: 3.7979 5.4067 5.4067
angles: 90.44 90.00 90.00
Last column: nearest neighbours and their distance in Å.
Fractional positions:
1 Pt 0.0000 0.5000 0.5000  8 Ru 2.70-2.72, 4 Pt 2.72
2 Pt 0.5000 0.2448 0.2448  10 Ru 2.66-2.75, 2 Pt 2.72
3 Pt 0.5000 0.7552 0.7552  10 Ru 2.66-2.75, 2 Pt 2.72
4 Ru 0.0000 0.0000 0.0000  4 Pt 2.66, 8 Ru 2.68-2.70
5 Ru 0.0000 0.0000 0.5000  6 Ru 2.69-2.70, 6 Pt 2.70
6 Ru 0.0000 0.5000 0.0000  6 Ru 2.69-2.70, 6 Pt 2.70
7 Ru 0.5000 0.7533 0.2467  6 Pt 2.66-2.75, 6 Ru 2.68-2.69
8 Ru 0.5000 0.2467 0.7533  6 Pt 2.66-2.75, 6 Ru 2.68-2.69

* density of states at the Fermi level: 1.095 states/eV/atom
* symmetry: Cmmm (65)
* final energy: -384.5 eV for the cell shown
* energy of formation from the pure elements: 2 kJ per mole of atoms


Entry 7:
A plane-wave DFT calculation with meta-GGA SCAN was carried out for Li2ScP2O8 at its PBEsol-relaxed geometry.

abc: 4.9676 7.5003 8.3194
angles: 90.00 90.00 100.06
Last column: nearest neighbours and their distance in Å.
Fractional positions:
1 Li 0.3965 0.8314 0.8679  4 O 1.95-2.09
2 Li 0.8965 0.3314 0.6321  4 O 1.95-2.09
3 Li 0.6035 0.1686 0.1321  4 O 1.95-2.09
4 Li 0.1035 0.6686 0.3679  4 O 1.95-2.09
5 Sc 0.5000 0.0000 0.5000  6 O 2.05-2.15
6 Sc 0.0000 0.5000 0.0000  6 O 2.05-2.15
7 P 0.8974 0.7349 0.6558  4 O 1.54-1.55
8 P 0.3974 0.2349 0.8442  4 O 1.54-1.55
9 P 0.1026 0.2651 0.3442  4 O 1.54-1.55
10 P 0.6026 0.7651 0.1558  4 O 1.54-1.55
11 O 0.6488 0.8311 0.6752  1 P 1.54
12 O 0.1488 0.3311 0.8248  1 P 1.54
13 O 0.3512 0.1689 0.3248  1 P 1.54
14 O 0.8512 0.6689 0.1752  1 P 1.54
15 O 0.0110 0.6925 0.8208  1 P 1.54
16 O 0.5110 0.1925 0.6792  1 P 1.54
17 O 0.9890 0.3075 0.1792  1 P 1.54
18 O 0.4890 0.8075 0.3208  1 P 1.54
19 O 0.1233 0.8535 0.5572  1 P 1.54
20 O 0.6233 0.3535 0.9428  1 P 1.54
21 O 0.8767 0.1465 0.4428  1 P 1.54
22 O 0.3767 0.6465 0.0572  1 P 1.54
23 O 0.8056 0.5595 0.5566  1 P 1.55
24 O 0.3056 0.0595 0.9434  1 P 1.55
25 O 0.1944 0.4405 0.4434  1 P 1.55
26 O 0.6944 0.9405 0.0566  1 P 1.55

* symmetry: P2_1/c (14)
* formation energy without anion corrections: -34.9 eV/f.u.
* final energy: -249.2 eV for the cell shown


Entry 8:
A plane-wave DFT calculation with meta-GGA SCAN was carried out for Be3MoS at its PBEsol-relaxed geometry.

abc: 4.2835 4.2835 4.2835
angles: 90.00 90.00 90.00
Last column: nearest neighbours and their distance in Å.
Fractional positions:
1 Be 0.0000 0.5000 0.0000  2 Mo 2.14
2 Be 0.0000 0.0000 0.5000  2 Mo 2.14
3 Be 0.5000 0.0000 0.0000  2 Mo 2.14
4 Mo 0.0000 0.0000 0.0000  6 Be 2.14
5 S 0.5000 0.5000 0.5000  12 Be 3.03

* density of states at the Fermi level: 0.466 states/eV/atom
* symmetry: Pm-3m (221)
* formation energy without anion corrections: 8.4 eV/f.u.
* final energy: -49.1 eV for the cell shown


Entry 9:
A plane-wave DFT calculation with meta-GGA SCAN was carried out for In2ReTe at its PBEsol-relaxed geometry.

abc: 3.1564 5.2009 6.6006
angles: 109.56 90.00 107.66
Last column: nearest neighbours and their distance in Å.
Fractional positions:
1 In 0.0069 0.0137 0.9734  2 Re 2.78, 1 Te 2.96
2 In 0.1928 0.3855 0.6450  3 Re 2.71-2.77
3 Re 0.4562 0.9124 0.6082  2 Te 2.62, 5 In 2.71-2.78
4 Te 0.8442 0.6884 0.2733  2 Re 2.62

* density of states at the Fermi level: 0.458 states/eV/atom
* symmetry: Cm (8)
* formation energy without anion corrections: 1.2 eV/f.u.
* final energy: -173.9 eV for the cell shown


Entry 10:
A plane-wave DFT calculation with meta-GGA SCAN was carried out for CsBaO3 at its PBEsol-relaxed geometry.

abc: 4.9722 4.9722 4.9722
angles: 90.00 90.00 90.00
Last column: nearest neighbours and their distance in Å.
Fractional positions:
1 Ba 0.5000 0.5000 0.5000  6 O 2.49
2 Cs 0.0000 0.0000 0.0000  12 O 3.52
3 O 0.0000 0.5000 0.5000  2 Ba 2.49
4 O 0.5000 0.0000 0.5000  2 Ba 2.49
5 O 0.5000 0.5000 0.0000  2 Ba 2.49

* density of states at the Fermi level: 1.314 states/eV/atom
* symmetry: Pm-3m (221)
* formation energy without anion corrections: -5.2 eV/f.u.
* final energy: -101.2 eV for the cell shown


Entry 11:
A plane-wave DFT calculation with meta-GGA SCAN was carried out for InHgHN2 at its PBEsol-relaxed geometry.

abc: 3.4158 4.1699 4.1699
angles: 90.00 90.00 90.00
Last column: nearest neighbours and their distance in Å.
Fractional positions:
1 H 0.0000 0.0000 0.0000  2 Hg 1.71
2 N 0.0000 0.0000 0.5000  2 H 2.08
3 N 0.0000 0.5000 0.0000  2 H 2.08
4 Hg 0.5000 0.0000 0.0000  2 H 1.71
5 In 0.5000 0.5000 0.5000  8 N 2.70, 4 Hg 2.95

* density of states at the Fermi level: 0.320 states/eV/atom
* symmetry: P4/mmm (123)
* final energy: -115.1 eV for the cell shown


Entry 12:
A plane-wave DFT calculation with meta-GGA SCAN was carried out for CoPt2Pb at its PBEsol-relaxed geometry.

abc: 3.0438 3.0438 7.1145
angles: 90.00 90.00 90.00
Last column: nearest neighbours and their distance in Å.
Fractional positions:
1 Pb 0.5000 0.5000 0.5000  8 Pt 3.03, 4 Pb 3.04
2 Co 0.5000 0.5000 0.0000  8 Pt 2.58
3 Pt 0.0000 0.0000 0.7997  4 Co 2.58, 1 Pt 2.85
4 Pt 0.0000 0.0000 0.2003  4 Co 2.58, 1 Pt 2.85

* density of states at the Fermi level: 0.576 states/eV/atom
* symmetry: P4/mmm (123)
* final energy: -233.1 eV for the cell shown
* energy of formation from the pure elements: 10 kJ per mole of atoms


Question: Which of these has the lowest final energy?
Answer: Ru5Pt3